This record from Alexandria via LeMat-Bulk describes a geometry-optimized Sr2BiIrC structure. The functional is PBE.

Values from the calculation:
**Space-group type**: P4/mmm
**Formation enthalpy at 0 K**: -0.30 eV/atom

a = 5.745 Å, b = 5.745 Å, c = 3.871 Å
α = 90.00°, β = 90.00°, γ = 90.00°
Positions (direct):
Sr  0.000  0.500  0.000
Sr  0.500  0.000  0.000
C  0.000  0.000  0.000
Ir  0.000  0.000  0.500
Bi  0.500  0.500  0.500